A plane-wave DFT calculation with PBE was carried out for a relaxed structure of Sc2SbRh2.

Geometry as POSCAR:
```
Sc2SbRh2
1.0
-1.864 3.038 6.520
-0.065 -6.742 3.123
3.238 0.327 0.773
Sc Sb Rh
4 2 4
Cartesian
0.328 -3.462 7.325
0.038 0.436 6.892
1.271 -3.813 3.524
0.981 0.084 3.092
-0.965 -1.852 4.821
0.000 0.000 0.000
-0.277 -2.040 2.024
-0.734 -4.719 5.070
-1.652 -1.665 7.619
-1.195 1.015 4.573
```

Calculated values
- Magnetic moment: 0.0 μB/f.u.
- DOS at the Fermi energy: 6.7 states/eV per cell
- Energy: -7.1278 eV per atom
- Uncorrected formation energy: -400 kJ/mol of formula units
- Space-group type: P4/mbm
- V: 18.5 Å³/atom